[1]
Material: MgNb3S
Method: DFT, meta-GGA SCAN
State: single point on PBEsol structure

Values from the calculation:
Volume in Å³ per cell: 96.6
Final energy in eV for the cell shown: -113.66

a b c (Å): 4.5886 4.5886 4.5886
angles (deg): 90.00 90.00 90.00
Positions (direct):
Mg1 0.0000 0.0000 0.0000
Nb1 0.0000 0.5000 0.5000
Nb2 0.5000 0.0000 0.5000
Nb3 0.5000 0.5000 0.0000
S1 0.5000 0.5000 0.5000

[2]
Material: MgNbTlS2
Method: DFT, meta-GGA SCAN
State: single point on PBEsol structure

Values from the calculation:
Volume in Å³ per cell: 112.4
Final energy in eV for the cell shown: -126.92

a b c (Å): 4.6225 4.6225 5.2592
angles (deg): 90.00 90.00 90.00
Positions (direct):
Mg1 0.0000 0.0000 0.0000
Nb1 0.0000 0.0000 0.5000
Tl1 0.5000 0.5000 0.5000
S1 0.0000 0.5000 0.0000
S2 0.5000 0.0000 0.0000

[3]
Material: MgNb3Sb
Method: DFT, meta-GGA SCAN
State: single point on PBEsol structure

Values from the calculation:
Volume in Å³ per cell: 126.7
Final energy in eV for the cell shown: -135.14

a b c (Å): 5.0232 5.0232 5.0232
angles (deg): 90.00 90.00 90.00
Positions (direct):
Mg1 0.0000 0.0000 0.0000
Nb1 0.0000 0.5000 0.5000
Nb2 0.5000 0.0000 0.5000
Nb3 0.5000 0.5000 0.0000
Sb1 0.5000 0.5000 0.5000

[4]
Material: MgNbSb2W
Method: DFT, meta-GGA SCAN
State: single point on PBEsol structure

Values from the calculation:
Volume in Å³ per cell: 132.2
Final energy in eV for the cell shown: -176.57

a b c (Å): 5.1241 5.1241 5.0338
angles (deg): 90.00 90.00 90.00
Positions (direct):
Mg1 0.0000 0.0000 0.0000
Nb1 0.5000 0.5000 0.0000
Sb1 0.0000 0.5000 0.5000
Sb2 0.5000 0.0000 0.5000
W1 0.0000 0.0000 0.5000

[5]
Material: MgScNb3
Method: DFT, meta-GGA SCAN
State: single point on PBEsol structure

Values from the calculation:
Volume in Å³ per cell: 107.7
Final energy in eV for the cell shown: -111.15

a b c (Å): 4.7579 4.7579 4.7579
angles (deg): 90.00 90.00 90.00
Positions (direct):
Mg1 0.0000 0.0000 0.0000
Sc1 0.5000 0.5000 0.5000
Nb1 0.0000 0.5000 0.5000
Nb2 0.5000 0.0000 0.5000
Nb3 0.5000 0.5000 0.0000

[6]
Material: MgNb2Se
Method: DFT, meta-GGA SCAN
State: single point on PBEsol structure

Values from the calculation:
Volume in Å³ per cell: 275.3
Final energy in eV for the cell shown: -359.22

a b c (Å): 6.5054 6.5054 6.5054
angles (deg): 90.00 90.00 90.00
Positions (direct):
Mg1 0.0000 0.0000 0.0000
Mg2 0.0000 0.5000 0.5000
Mg3 0.5000 0.0000 0.5000
Mg4 0.5000 0.5000 0.0000
Nb1 0.2500 0.2500 0.2500
Nb2 0.2500 0.2500 0.7500
Nb3 0.2500 0.7500 0.2500
Nb4 0.2500 0.7500 0.7500
Nb5 0.7500 0.2500 0.2500
Nb6 0.7500 0.2500 0.7500
Nb7 0.7500 0.7500 0.2500
Nb8 0.7500 0.7500 0.7500
Se1 0.0000 0.0000 0.5000
Se2 0.0000 0.5000 0.0000
Se3 0.5000 0.0000 0.0000
Se4 0.5000 0.5000 0.5000